VASP calculation (PBE) on crystalline PmDyMg at its relaxed geometry.

a b c (Å): 3.7026 3.7026 13.0671
angles (deg): 90.00 90.00 90.00
Space group I4mm (No. 107)
Inequivalent atoms, fractional coordinates:
Pm 0.0000 0.0000 0.0000
Dy 0.0000 0.0000 0.3171
Mg 0.0000 0.0000 0.6625

Calculated values
energy of formation from the pure elements	-0.045	eV per atom
final energy	-0.13574	hartree per atom
offset from the most stable computed form	3.4	meV per atom